[1]
A plane-wave DFT calculation with PBE-GGA was carried out for crystalline KCrAu2I at its relaxed geometry.

Output
Total magnetization = 5.63 μB/f.u.
Formation energy without anion corrections = 773 meV per atom
Space group = No. 123

Structure (POSCAR):
```
KCrAu2I
1.0
5.585 0.000 0.000
0.000 6.249 0.000
0.000 0.000 5.585
I Cr K Au
1 1 1 2
Direct
0.000 0.000 0.000
0.500 0.500 0.500
0.000 0.500 0.000
0.000 0.000 0.500
0.500 0.000 0.000
```

[2]
A plane-wave DFT calculation with PBE-GGA was carried out for crystalline CrAuI2N at its relaxed geometry.

Output
Total magnetization = 1.77 μB/f.u.
Formation energy without anion corrections = 350 meV per atom
Energy above the lowest structure with this stoichiometry = 0 meV per atom
Space group = No. 123

Structure (POSCAR):
```
CrAuI2N
1.0
5.604 0.000 0.000
0.000 5.604 0.000
0.000 0.000 3.613
I Cr Au N
2 1 1 1
Direct
0.000 0.500 0.000
0.500 0.000 0.000
0.000 0.000 0.000
0.500 0.500 0.500
0.000 0.000 0.500
```

[3]
A plane-wave DFT calculation with PBE-GGA was carried out for crystalline CrAuI2N at its relaxed geometry.

Output
Total magnetization = 4.58 μB/f.u.
Formation energy without anion corrections = 1037 meV per atom
Energy above the lowest structure with this stoichiometry = 687 meV per atom
Space group = No. 123

Structure (POSCAR):
```
CrAuI2N
1.0
6.014 0.000 0.000
0.000 6.014 0.000
0.000 0.000 3.805
I Cr Au N
2 1 1 1
Direct
0.000 0.500 0.000
0.500 0.000 0.000
0.500 0.500 0.500
0.000 0.000 0.000
0.000 0.000 0.500
```

[4]
A plane-wave DFT calculation with PBE-GGA was carried out for crystalline NaCr2AuI at its relaxed geometry.

Output
Total magnetization = 9.99 μB/f.u.
Formation energy without anion corrections = 945 meV per atom
Space group = No. 123

Structure (POSCAR):
```
NaCr2AuI
1.0
5.353 0.000 0.000
0.000 5.684 0.000
0.000 0.000 5.353
I Cr Au Na
1 2 1 1
Direct
0.000 0.000 0.000
0.000 0.000 0.500
0.500 0.000 0.000
0.500 0.500 0.500
0.000 0.500 0.000
```

[5]
A plane-wave DFT calculation with PBE-GGA was carried out for crystalline NaCrAu2I at its relaxed geometry.

Output
Total magnetization = 5.49 μB/f.u.
Formation energy without anion corrections = 834 meV per atom
Space group = No. 123

Structure (POSCAR):
```
NaCrAu2I
1.0
-4.337 -1.068 3.298
0.031 -5.275 -1.667
3.467 -1.289 4.142
I Cr Au Na
1 1 2 1
Direct
0.000 0.000 0.000
0.500 0.500 0.500
0.000 0.000 0.500
0.500 0.000 0.000
0.000 0.500 0.000
```

[6]
A plane-wave DFT calculation with PBE-GGA was carried out for crystalline NbCrAu2I at its relaxed geometry.

Output
Total magnetization = 1.94 μB/f.u.
Formation energy without anion corrections = 1113 meV per atom
Space group = No. 123

Structure (POSCAR):
```
NbCrAu2I
1.0
5.261 0.000 0.000
0.000 4.769 0.000
0.000 0.000 5.261
I Cr Nb Au
1 1 1 2
Direct
0.500 0.500 0.500
0.000 0.500 0.000
0.000 0.000 0.000
0.000 0.000 0.500
0.500 0.000 0.000
```

[7]
A plane-wave DFT calculation with PBE-GGA was carried out for crystalline CrSbAuI2 at its relaxed geometry.

Output
Total magnetization = 2.70 μB/f.u.
Formation energy without anion corrections = 534 meV per atom
Energy above the lowest structure with this stoichiometry = 0 meV per atom
Space group = No. 123

Structure (POSCAR):
```
CrSbAuI2
1.0
5.356 0.000 0.000
0.000 5.356 0.000
0.000 0.000 5.319
I Sb Au Cr
2 1 1 1
Direct
0.000 0.500 0.000
0.500 0.000 0.000
0.000 0.000 0.500
0.500 0.500 0.500
0.000 0.000 0.000
```

[8]
A plane-wave DFT calculation with PBE-GGA was carried out for crystalline CrSnAu2I at its relaxed geometry.

Output
Total magnetization = 3.90 μB/f.u.
Formation energy without anion corrections = 514 meV per atom
Space group = No. 123

Structure (POSCAR):
```
CrSnAu2I
1.0
-4.221 1.726 2.376
1.296 -2.715 4.275
2.646 4.041 1.764
I Cr Au Sn
1 1 2 1
Direct
0.000 0.500 0.000
0.000 0.000 0.000
0.000 0.000 0.500
0.500 0.000 0.000
0.500 0.500 0.500
```

[9]
A plane-wave DFT calculation with PBE-GGA was carried out for crystalline CrTcAuI at its relaxed geometry.

Output
Total magnetization = 0.61 μB/f.u.
Formation energy without anion corrections = 518 meV per atom
Energy above the lowest structure with this stoichiometry = 10 meV per atom
Space group = No. 44

Structure (POSCAR):
```
CrTcAuI
1.0
4.377 0.000 0.000
0.000 3.391 0.000
0.000 0.000 12.129
I Cr Au Tc
2 2 2 2
Direct
0.000 0.500 0.753
0.500 0.000 0.253
0.000 0.500 0.988
0.500 0.000 0.488
0.000 0.500 0.472
0.500 0.000 0.972
0.000 0.000 0.110
0.500 0.500 0.610
```

[10]
A plane-wave DFT calculation with PBE-GGA was carried out for crystalline CrTcAuI at its relaxed geometry.

Output
Total magnetization = 0.00 μB/f.u.
Formation energy without anion corrections = 536 meV per atom
Energy above the lowest structure with this stoichiometry = 27 meV per atom
Space group = No. 8

Structure (POSCAR):
```
CrTcAuI
1.0
-3.238 -5.325 6.099
1.017 -2.542 -1.679
5.637 1.004 1.894
I Cr Au Tc
2 2 2 2
Direct
0.612 0.000 0.910
0.612 0.500 0.410
0.375 0.000 0.144
0.375 0.500 0.644
0.972 0.000 0.051
0.972 0.500 0.551
0.214 0.000 0.810
0.214 0.500 0.310
```

[11]
A plane-wave DFT calculation with PBE-GGA was carried out for crystalline CrTcAuI at its relaxed geometry.

Output
Total magnetization = 1.04 μB/f.u.
Formation energy without anion corrections = 542 meV per atom
Energy above the lowest structure with this stoichiometry = 33 meV per atom
Space group = No. 1

Structure (POSCAR):
```
CrTcAuI
1.0
-0.646 -2.196 -2.662
3.931 -1.396 2.871
-3.507 -3.554 3.426
I Cr Au Tc
1 1 1 1
Direct
0.398 0.514 0.655
0.019 0.621 0.289
0.284 0.186 0.174
0.564 0.766 0.054
```

[12]
A plane-wave DFT calculation with PBE-GGA was carried out for crystalline CrTcAuI at its relaxed geometry.

Output
Total magnetization = 0.28 μB/f.u.
Formation energy without anion corrections = 525 meV per atom
Energy above the lowest structure with this stoichiometry = 16 meV per atom
Space group = No. 1

Structure (POSCAR):
```
CrTcAuI
1.0
-0.948 -1.796 -2.522
2.575 -0.895 1.755
-5.523 -3.259 6.428
I Cr Au Tc
1 1 1 1
Direct
0.445 0.977 0.615
0.952 0.233 0.374
0.690 0.098 0.970
0.516 0.513 0.213
```

[13]
A plane-wave DFT calculation with PBE-GGA was carried out for crystalline CrTcAuI at its relaxed geometry.

Output
Total magnetization = 0.00 μB/f.u.
Formation energy without anion corrections = 520 meV per atom
Energy above the lowest structure with this stoichiometry = 11 meV per atom
Space group = No. 8

Structure (POSCAR):
```
CrTcAuI
1.0
8.560 0.000 0.001
0.000 3.120 0.000
-0.026 0.000 6.256
I Cr Au Tc
2 2 2 2
Direct
0.615 0.000 0.578
0.615 0.500 0.078
0.369 0.000 0.196
0.369 0.500 0.696
0.973 0.000 0.598
0.973 0.500 0.098
0.215 0.000 0.932
0.215 0.500 0.432
```

[14]
A plane-wave DFT calculation with PBE-GGA was carried out for crystalline CrTcAuI at its relaxed geometry.

Output
Total magnetization = 0.00 μB/f.u.
Formation energy without anion corrections = 509 meV per atom
Energy above the lowest structure with this stoichiometry = 0 meV per atom
Space group = No. 6

Structure (POSCAR):
```
CrTcAuI
1.0
-1.207 -1.517 2.434
1.088 -2.924 -1.283
7.505 1.447 3.071
I Cr Au Tc
1 1 1 1
Direct
0.395 0.500 0.384
0.967 0.500 0.648
0.272 0.500 0.003
0.717 0.000 0.792
```

[15]
A plane-wave DFT calculation with PBE-GGA was carried out for crystalline CrTe2AuI at its relaxed geometry.

Output
Total magnetization = 1.86 μB/f.u.
Formation energy without anion corrections = 511 meV per atom
Energy above the lowest structure with this stoichiometry = 0 meV per atom
Space group = No. 123

Structure (POSCAR):
```
CrTe2AuI
1.0
5.121 0.000 0.000
0.000 5.121 0.000
0.000 0.000 5.681
I Cr Te Au
1 1 2 1
Direct
0.000 0.000 0.500
0.000 0.000 0.000
0.000 0.500 0.000
0.500 0.000 0.000
0.500 0.500 0.500
```

[16]
A plane-wave DFT calculation with PBE-GGA was carried out for crystalline CrTeAuI2 at its relaxed geometry.

Output
Total magnetization = 2.49 μB/f.u.
Formation energy without anion corrections = 483 meV per atom
Energy above the lowest structure with this stoichiometry = 0 meV per atom
Space group = No. 123

Structure (POSCAR):
```
CrTeAuI2
1.0
-1.259 -5.248 0.382
3.998 -0.699 3.577
-3.108 1.013 3.671
I Cr Te Au
2 1 1 1
Direct
0.000 0.500 0.000
0.500 0.000 0.000
0.000 0.000 0.000
0.000 0.000 0.500
0.500 0.500 0.500
```

[17]
A plane-wave DFT calculation with PBE-GGA was carried out for crystalline CrInAu3 at its relaxed geometry.

Output
Total magnetization = 4.82 μB/f.u.
Energy above the lowest structure with this stoichiometry = 17 meV per atom
Space group = No. 221

Structure (POSCAR):
```
CrInAu3
1.0
5.161 0.000 0.000
0.000 5.161 0.000
0.000 0.000 5.161
Cr Au In
1 3 1
Direct
0.500 0.500 0.500
0.000 0.500 0.000
0.000 0.000 0.500
0.500 0.000 0.000
0.000 0.000 0.000
```

[18]
A plane-wave DFT calculation with PBE-GGA was carried out for crystalline CrInAu2 at its relaxed geometry.

Output
Total magnetization = 3.98 μB/f.u.
Space group = No. 123

Structure (POSCAR):
```
CrInAu2
1.0
3.347 0.000 0.000
0.000 3.347 0.000
0.000 0.000 6.699
Au Cr In
2 1 1
Direct
0.000 0.000 0.024
0.000 0.000 0.476
0.500 0.500 0.250
0.500 0.500 0.750
```

[19]
A plane-wave DFT calculation with PBE-GGA was carried out for crystalline CrIn4Au at its relaxed geometry.

Output
Total magnetization = 4.58 μB/f.u.
Space group = No. 216

Structure (POSCAR):
```
CrIn4Au
1.0
4.797 1.164 3.344
-0.661 1.609 5.703
1.577 -3.751 4.358
Cr In Au
1 4 1
Direct
0.000 0.000 0.000
0.875 0.375 0.375
0.375 0.375 0.875
0.375 0.875 0.375
0.375 0.375 0.375
0.750 0.750 0.750
```

[20]
A plane-wave DFT calculation with PBE-GGA was carried out for crystalline CrInAu2 at its relaxed geometry.

Output
Total magnetization = 3.86 μB/f.u.
Space group = No. 122

Structure (POSCAR):
```
CrInAu2
1.0
4.049 0.000 0.000
0.000 4.049 0.000
2.025 2.025 9.820
Cr Au In
2 4 2
Direct
0.500 0.500 0.000
0.250 0.750 0.500
0.619 0.125 0.250
0.131 0.625 0.250
0.375 0.381 0.750
0.875 0.869 0.750
0.000 0.000 0.000
0.750 0.250 0.500
```

[21]
A plane-wave DFT calculation with PBE-GGA was carried out for crystalline CrInAu at its relaxed geometry.

Output
Total magnetization = 3.82 μB/f.u.
Space group = No. 156

Structure (POSCAR):
```
CrInAu
1.0
4.652 0.000 0.000
-2.326 4.029 0.000
0.000 0.000 3.077
Au Cr In
1 1 1
Direct
0.000 0.000 0.832
0.667 0.333 0.334
0.333 0.667 0.834
```

[22]
A plane-wave DFT calculation with PBE-GGA was carried out for crystalline CrInAu2 at its relaxed geometry.

Output
Total magnetization = 3.69 μB/f.u.
Space group = No. 12

Structure (POSCAR):
```
CrInAu2
1.0
4.816 -0.168 0.082
3.845 2.905 0.082
0.915 0.289 5.153
Au Cr In
2 1 1
Direct
0.009 0.009 0.982
0.491 0.491 0.518
0.750 0.750 0.750
0.250 0.250 0.250
```

[23]
A plane-wave DFT calculation with PBE-GGA was carried out for crystalline CrInAu2 at its relaxed geometry.

Output
Total magnetization = 3.90 μB/f.u.
Space group = No. 216

Structure (POSCAR):
```
CrInAu2
1.0
4.704 0.000 0.000
2.352 4.074 0.000
2.352 1.358 3.841
Au Cr In
2 1 1
Direct
0.000 0.000 0.000
0.750 0.750 0.750
0.500 0.500 0.500
0.250 0.250 0.250
```

[24]
A plane-wave DFT calculation with PBE-GGA was carried out for crystalline CrInAu at its relaxed geometry.

Output
Total magnetization = 4.24 μB/f.u.
Space group = No. 107

Structure (POSCAR):
```
CrInAu
1.0
5.068 -0.379 0.000
2.849 4.209 0.000
-3.958 -1.915 2.548
Au Cr In
1 1 1
Direct
0.004 0.004 0.000
0.662 0.662 0.000
0.334 0.334 0.000
```

[25]
A plane-wave DFT calculation with PBE-GGA was carried out for crystalline CrInAu2 at its relaxed geometry.

Output
Total magnetization = 4.05 μB/f.u.
Space group = No. 25

Structure (POSCAR):
```
CrInAu2
1.0
3.320 0.000 0.000
0.000 3.888 0.000
0.000 0.000 5.795
Au Cr In
2 1 1
Direct
0.000 0.000 0.992
0.500 0.500 0.268
0.000 0.000 0.482
0.500 0.500 0.758
```

[26]
A plane-wave DFT calculation with PBE-GGA was carried out for crystalline CrInAu3 at its relaxed geometry.

Output
Total magnetization = 0.00 μB/f.u.
Energy above the lowest structure with this stoichiometry = 0 meV per atom
Space group = No. 221

Structure (POSCAR):
```
CrInAu3
1.0
-1.321 -4.588 -1.177
1.182 -1.502 4.530
-4.587 0.934 1.506
Cr Au In
1 3 1
Direct
0.000 0.000 0.000
0.000 0.500 0.000
0.000 0.000 0.500
0.500 0.000 0.000
0.500 0.500 0.500
```

[27]
A plane-wave DFT calculation with PBE-GGA was carried out for crystalline CrInAu at its relaxed geometry.

Output
Total magnetization = 4.03 μB/f.u.
Space group = No. 216

Structure (POSCAR):
```
CrInAu
1.0
-3.358 1.222 2.797
0.544 -0.357 4.491
0.410 3.738 2.540
Au Cr In
1 1 1
Direct
0.750 0.750 0.750
0.000 0.000 0.000
0.500 0.500 0.500
```

[28]
A plane-wave DFT calculation with PBE-GGA was carried out for crystalline CrIn3Au12 at its relaxed geometry.

Output
Total magnetization = 4.06 μB/f.u.
Space group = No. 123

Structure (POSCAR):
```
CrIn3Au12
1.0
4.219 0.000 0.000
0.000 4.219 0.000
0.000 0.000 16.719
Cr In Au
1 3 12
Direct
0.000 0.000 0.000
0.000 0.000 0.245
0.000 0.000 0.500
0.000 0.000 0.755
0.500 0.500 0.000
0.500 0.500 0.247
0.500 0.500 0.500
0.500 0.500 0.753
0.500 0.000 0.118
0.500 0.000 0.373
0.500 0.000 0.627
0.500 0.000 0.882
0.000 0.500 0.118
0.000 0.500 0.373
0.000 0.500 0.627
0.000 0.500 0.882
```

| no. | raw total energy (eV/atom) |
| --- | --- |
| 1 | -2.99 |
| 2 | -4.52 |
| 3 | -3.83 |
| 4 | -4.13 |
| 5 | -2.98 |
| 6 | -4.45 |
| 7 | -3.49 |
| 8 | -3.83 |
| 9 | -5.69 |
| 10 | -5.67 |
| 11 | -5.66 |
| 12 | -5.68 |
| 13 | -5.68 |
| 14 | -5.70 |
| 15 | -3.64 |
| 16 | -3.35 |
| 17 | -3.64 |
| 18 | -4.69 |
| 19 | -3.49 |
| 20 | -4.47 |
| 21 | -5.04 |
| 22 | -4.64 |
| 23 | -4.65 |
| 24 | -5.07 |
| 25 | -4.66 |
| 26 | -3.66 |
| 27 | -4.99 |
| 28 | -3.63 |